(1)
Rb2CeZn3F12 | PBE | optimized geometry

Cell lengths 7.6999, 7.6999, 7.6999 Å; angles 58.89, 58.89, 58.89 degrees
Sites, in units of the cell vectors:
Rb: 0.5985 0.5985 0.5985
Rb: 0.4015 0.4015 0.4015
Ce: 0.0000 0.0000 0.0000
Zn: 0.5000 0.0000 0.0000
Zn: 0.0000 0.5000 0.0000
Zn: 0.0000 0.0000 0.5000
F: 0.3039 0.3039 0.9087
F: 0.9057 0.9057 0.3490
F: 0.3490 0.9057 0.9057
F: 0.9087 0.3039 0.3039
F: 0.9057 0.3490 0.9057
F: 0.3039 0.9087 0.3039
F: 0.6961 0.6961 0.0913
F: 0.0943 0.0943 0.6510
F: 0.6510 0.0943 0.0943
F: 0.0913 0.6961 0.6961
F: 0.0943 0.6510 0.0943
F: 0.6961 0.0913 0.6961

Symmetry: No. 166

(2)
RbCeZn2F8 | PBE | optimized geometry

Cell lengths 5.4478, 5.4478, 8.9543 Å; angles 72.29, 72.29, 60.00 degrees
Sites, in units of the cell vectors:
Rb: 0.0000 0.0000 0.0000
Ce: 0.5000 0.5000 0.5000
Zn: 0.7416 0.7416 0.7751
Zn: 0.2584 0.2584 0.2249
F: 0.6679 0.6679 0.9964
F: 0.3321 0.3321 0.0036
F: 0.5430 0.2309 0.3275
F: 0.7691 0.4570 0.6725
F: 0.1014 0.7691 0.6725
F: 0.2309 0.8986 0.3275
F: 0.8986 0.5430 0.3275
F: 0.4570 0.1014 0.6725

Symmetry: No. 155

(3)
Rb2CeZnF8 | PBE | optimized geometry

Cell lengths 4.1277, 6.4298, 8.3589 Å; angles 85.05, 91.68, 92.24 degrees
Sites, in units of the cell vectors:
Rb: 0.5253 0.4649 0.7646
Rb: 0.4747 0.5351 0.2354
Ce: 0.0000 0.0000 0.5000
Zn: 0.0000 0.0000 0.0000
F: 0.0182 0.8822 0.2477
F: 0.6786 0.7928 0.9693
F: 0.9652 0.2833 0.3432
F: 0.9818 0.1178 0.7523
F: 0.3214 0.2072 0.0307
F: 0.0348 0.7167 0.6568
F: 0.5204 0.8182 0.4647
F: 0.4796 0.1818 0.5353

Symmetry: No. 2

(4)
RbCeZnF6 | PBE | optimized geometry

Cell lengths 5.9875, 5.9875, 11.4580 Å; angles 90.00, 90.00, 120.00 degrees
Sites, in units of the cell vectors:
Rb: 0.0000 0.0000 0.0000
Rb: 0.0000 0.0000 0.5000
Ce: 0.3333 0.6667 0.2500
Ce: 0.6667 0.3333 0.7500
Zn: 0.6667 0.3333 0.2500
Zn: 0.3333 0.6667 0.7500
F: 0.6363 0.6076 0.1499
F: 0.9713 0.3637 0.1499
F: 0.3637 0.9713 0.6499
F: 0.0287 0.6363 0.8501
F: 0.3924 0.3637 0.3501
F: 0.9713 0.6076 0.3501
F: 0.6076 0.9713 0.8501
F: 0.6363 0.0287 0.3501
F: 0.0287 0.3924 0.6499
F: 0.3924 0.0287 0.1499
F: 0.6076 0.6363 0.6499
F: 0.3637 0.3924 0.8501

Symmetry: No. 163

(5)
Ce2RhF | PBE | optimized geometry

Cell lengths 4.1666, 4.1666, 7.9693 Å; angles 74.85, 74.85, 60.00 degrees
Sites, in units of the cell vectors:
Rh: 0.5000 0.5000 0.5000
Ce: 0.1015 0.1015 0.6955
Ce: 0.8985 0.8985 0.3045
F: 0.0000 0.0000 0.0000

Symmetry: No. 166

(6)
Ce2RuF | PBE | optimized geometry

Cell lengths 3.9391, 3.9391, 7.9954 Å; angles 75.74, 75.74, 60.00 degrees
Sites, in units of the cell vectors:
Ce: 0.0838 0.0838 0.7486
Ce: 0.2792 0.2792 0.1625
Ru: 0.6721 0.6721 0.9838
F: 0.4649 0.4649 0.6052

Symmetry: No. 160

(7)
Ce2RuF | PBE | optimized geometry

Cell lengths 3.9534, 3.9534, 6.6890 Å; angles 72.81, 72.81, 60.00 degrees
Sites, in units of the cell vectors:
Ru: 0.5000 0.5000 0.5000
Ce: 0.7493 0.7493 0.7521
Ce: 0.2507 0.2507 0.2479
F: 0.0000 0.0000 0.0000

Symmetry: No. 166

(8)
Ce2RuF | PBE | optimized geometry

Cell lengths 3.1721, 3.1721, 7.5079 Å; angles 90.00, 90.00, 90.00 degrees
Sites, in units of the cell vectors:
Ru: 0.5000 0.5000 0.5000
Ce: 0.0000 0.0000 0.7502
Ce: 0.0000 0.0000 0.2498
F: 0.5000 0.5000 0.0000

Symmetry: No. 123

(9)
Ce4S6F | PBE | optimized geometry

Cell lengths 3.8815, 8.5323, 8.5323 Å; angles 120.00, 90.00, 90.00 degrees
Sites, in units of the cell vectors:
Ce: 0.5000 0.8258 0.6516
Ce: 0.5000 0.3484 0.1742
Ce: 0.5000 0.8258 0.1742
Ce: 0.0000 0.3333 0.6667
S: 0.0000 0.5407 0.0814
S: 0.5000 0.6137 0.8068
S: 0.0000 0.5407 0.4593
S: 0.0000 0.9186 0.4593
S: 0.5000 0.1932 0.8068
S: 0.5000 0.1932 0.3864
F: 0.0000 0.0000 0.0000

Symmetry: No. 187

(10)
Ce6S5F | PBE | optimized geometry

Cell lengths 6.8707, 6.8707, 6.8760 Å; angles 99.63, 99.63, 120.01 degrees
Sites, in units of the cell vectors:
S: 0.8296 0.1704 0.5000
S: 0.6658 0.3342 0.0000
S: 0.5000 0.5000 0.5000
S: 0.3342 0.6658 0.0000
S: 0.1704 0.8296 0.5000
Ce: 0.4138 0.0821 0.2473
Ce: 0.9179 0.5862 0.7527
Ce: 0.2483 0.2483 0.7487
Ce: 0.7517 0.7517 0.2513
Ce: 0.0821 0.4138 0.2473
Ce: 0.5862 0.9179 0.7527
F: 0.0000 0.0000 0.0000

Symmetry: No. 12

(11)
CeS2F2 | PBE | optimized geometry

Cell lengths 6.2836, 6.9788, 6.5622 Å; angles 79.08, 65.10, 63.24 degrees
Sites, in units of the cell vectors:
Ce: 0.8367 0.3266 0.5000
Ce: 0.1633 0.6734 0.5000
S: 0.1501 0.0000 0.1655
S: 0.8499 0.0000 0.8345
S: 0.6497 0.0000 0.6584
S: 0.3503 0.0000 0.3416
F: 0.5682 0.4407 0.2979
F: 0.9910 0.4407 0.7021
F: 0.4318 0.5593 0.7021
F: 0.0090 0.5593 0.2979

Symmetry: No. 12

(12)
Ce4S3F7 | PBE | optimized geometry

Cell lengths 3.9316, 7.9721, 8.1325 Å; angles 73.03, 76.01, 75.72 degrees
Sites, in units of the cell vectors:
Ce: 0.6648 0.4348 0.2356
Ce: 0.3352 0.5652 0.7644
Ce: 0.8979 0.9046 0.2995
Ce: 0.1021 0.0954 0.7005
S: 0.3042 0.1836 0.2080
S: 0.6958 0.8164 0.7920
S: 0.0000 0.5000 0.5000
F: 0.3190 0.8546 0.5074
F: 0.4877 0.2461 0.7785
F: 0.8278 0.4247 0.9198
F: 0.6810 0.1454 0.4926
F: 0.1722 0.5753 0.0802
F: 0.0000 0.0000 0.0000
F: 0.5123 0.7539 0.2215

Symmetry: No. 12

Number 1: ΔE_f (raw) -2808 meV per atom, calculated density 3.88 g cm⁻³. Number 2: ΔE_f (raw) -2856 meV per atom, calculated density 3.92 g cm⁻³. Number 3: ΔE_f (raw) -3046 meV per atom, calculated density 3.97 g cm⁻³. Number 4: ΔE_f (raw) -3135 meV per atom, calculated density 3.78 g cm⁻³. Number 5: ΔE_f (raw) -1530 meV per atom, calculated density 5.85 g cm⁻³. Number 6: ΔE_f (raw) -1258 meV per atom, calculated density 6.45 g cm⁻³. Number 7: ΔE_f (raw) -1317 meV per atom, calculated density 7.81 g cm⁻³. Number 8: ΔE_f (raw) -1218 meV per atom, calculated density 8.80 g cm⁻³. Number 9: ΔE_f (raw) -1983 meV per atom, calculated density 5.24 g cm⁻³. Number 10: ΔE_f (raw) -2074 meV per atom, calculated density 6.39 g cm⁻³. Number 11: ΔE_f (raw) -2409 meV per atom, calculated density 3.45 g cm⁻³. Number 12: ΔE_f (raw) -3224 meV per atom, calculated density 5.65 g cm⁻³.